Density functional theory data (PBE-GGA) for a relaxed structure of RbBIN2.

a = 4.3866 Å, b = 4.3866 Å, c = 5.0298 Å
α = 90.00°, β = 90.00°, γ = 90.00°
Space group P4/mmm (No. 123)
Inequivalent atoms, fractional coordinates:
Rb: 0.0000 0.0000 0.0000 x1
B: 0.5000 0.5000 0.5000 x1
I: 0.5000 0.5000 0.0000 x1
N: 0.0000 0.5000 0.5000 x2

formation energy without anion corrections = 1.77 eV/atom
crystal system = tetragonal
E_tot = -16.98 eV for the cell shown
excess energy over the best structure of this formula in the dataset = 0.0 kJ/mol of atoms

Density functional theory data (PBE-GGA) for a relaxed structure of ReBIN2.

a = 3.7474 Å, b = 3.7474 Å, c = 4.4520 Å
α = 90.00°, β = 90.00°, γ = 90.00°
Space group P4/mmm (No. 123)
Inequivalent atoms, fractional coordinates:
Re: 0.0000 0.0000 0.0000 x1
B: 0.5000 0.5000 0.5000 x1
I: 0.5000 0.5000 0.0000 x1
N: 0.0000 0.5000 0.5000 x2

formation energy without anion corrections = 2.44 eV/atom
crystal system = tetragonal
E_tot = -25.13 eV for the cell shown
excess energy over the best structure of this formula in the dataset = 110.9 kJ/mol of atoms